Version a
DFT (PBE) results for CuRe after structural relaxation.

Geometry as extended XYZ:
```
16
Lattice="7.711 0.000 0.000 0.000 7.711 0.000 0.000 0.000 3.968" Properties=species:S:1:pos:R:3 pbc="T T T"
Re 6.431 3.972 1.984
Cu 5.037 5.149 0.000
Cu 2.562 5.037 0.000
Cu 1.294 1.181 1.984
Re 1.281 3.739 1.984
Re 2.575 7.595 0.000
Cu 5.149 2.675 0.000
Re 5.136 0.116 0.000
Re 7.595 5.136 0.000
Cu 6.418 6.530 1.984
Cu 1.181 6.418 1.984
Re 3.972 1.281 1.984
Cu 6.530 1.294 1.984
Cu 2.675 2.562 0.000
Re 0.116 2.575 0.000
Re 3.739 6.431 1.984
```

Values from the calculation:
N(E_F)	15.4	states/eV per cell
total moment	0.00	μB/f.u.
calculated volume	236	Å³ per cell

Version b
DFT (PBE) results for CuRe after structural relaxation.

Geometry as extended XYZ:
```
4
Lattice="-0.518 -3.981 -0.420 4.359 1.547 -0.642 1.990 -0.553 2.791" Properties=species:S:1:pos:R:3 pbc="T T T"
Re 3.295 -2.628 1.449
Cu 2.053 -0.557 2.746
Re 5.084 -0.720 0.552
Cu 2.485 -0.357 0.317
```

Values from the calculation:
N(E_F)	1.7	states/eV per cell
total moment	0.00	μB/f.u.
calculated volume	54	Å³ per cell

Version c
DFT (PBE) results for CuRe after structural relaxation.

Geometry as extended XYZ:
```
16
Lattice="-6.115 2.605 -3.769 -4.526 -2.456 5.645 0.713 6.750 3.508" Properties=species:S:1:pos:R:3 pbc="T T T"
Cu -4.271 3.958 6.583
Re -3.807 2.646 2.065
Re -6.286 2.681 2.502
Cu -1.975 1.372 1.071
Re -8.771 6.096 4.757
Cu -2.705 4.763 3.017
Re -4.696 3.647 4.197
Cu -5.228 7.006 0.914
Cu -8.382 1.462 2.201
Re -5.847 2.802 -2.264
Cu -5.422 3.113 0.122
Cu -6.939 4.822 3.763
Re -0.609 5.981 3.318
Re -5.066 4.825 2.004
Re -4.628 -1.080 4.957
Cu -4.789 1.100 3.867
```

Values from the calculation:
N(E_F)	24.9	states/eV per cell
total moment	0.71	μB/f.u.
calculated volume	446	Å³ per cell

Energies relative to the most stable structure, in meV/atom: version a 346; version b 0; version c 1696.

Version a
DFT (PBE) results for CuRe after structural relaxation.

Geometry as extended XYZ:
```
2
Lattice="-3.102 -1.388 0.774 -0.203 -2.696 2.201 -1.363 0.443 3.177" Properties=species:S:1:pos:R:3 pbc="T T T"
Cu 0.000 0.000 0.000
Re -2.334 -1.820 3.076
```

Values from the calculation:
N(E_F)	2.7	states/eV per cell
total moment	0.00	μB/f.u.
calculated volume	30	Å³ per cell

Version b
DFT (PBE) results for CuRe after structural relaxation.

Geometry as extended XYZ:
```
4
Lattice="-1.012 -2.538 0.345 2.244 0.388 -1.548 4.917 -1.027 6.871" Properties=species:S:1:pos:R:3 pbc="T T T"
Re 2.465 -0.515 3.445
Re 4.840 -1.356 4.228
Cu 0.034 -0.007 0.047
Cu 2.354 -0.837 0.754
```

Values from the calculation:
N(E_F)	3.0	states/eV per cell
total moment	0.00	μB/f.u.
calculated volume	56	Å³ per cell

Version c
DFT (PBE) results for CuRe after structural relaxation.

Geometry as extended XYZ:
```
4
Lattice="-0.083 -2.205 -3.119 3.938 2.052 -1.556 1.851 -1.182 3.126" Properties=species:S:1:pos:R:3 pbc="T T T"
Cu 0.000 0.000 0.000
Re 4.160 0.016 -0.123
Cu 1.969 1.026 -0.778
Re 1.546 -1.351 -1.426
```

Values from the calculation:
N(E_F)	3.5	states/eV per cell
total moment	0.00	μB/f.u.
calculated volume	59	Å³ per cell

Energies relative to the most stable structure, in meV/atom: version a 1334; version b 0; version c 1154.

Version a
DFT (PBE) results for CuRe after structural relaxation.

Geometry as extended XYZ:
```
16
Lattice="6.045 0.000 0.000 0.000 6.045 0.000 0.000 0.000 6.045" Properties=species:S:1:pos:R:3 pbc="T T T"
Cu 1.251 1.772 4.273
Cu 4.794 4.794 4.794
Cu 4.273 1.251 1.772
Cu 1.772 4.273 1.251
Cu 4.273 4.794 1.251
Re 2.773 0.250 5.795
Re 5.795 2.773 0.250
Re 0.250 5.795 2.773
Cu 1.251 4.273 4.794
Re 3.272 3.272 3.272
Re 0.250 0.250 0.250
Re 5.795 3.272 2.773
Cu 4.794 1.251 4.273
Cu 1.772 1.772 1.772
Re 2.773 5.795 3.272
Re 3.272 2.773 5.795
```

Values from the calculation:
N(E_F)	15.3	states/eV per cell
total moment	0.00	μB/f.u.
calculated volume	221	Å³ per cell

Version b
DFT (PBE) results for CuRe after structural relaxation.

Geometry as extended XYZ:
```
4
Lattice="-4.574 -1.298 -0.046 1.300 -2.718 3.570 -0.416 1.388 2.150" Properties=species:S:1:pos:R:3 pbc="T T T"
Cu -4.696 0.171 2.108
Cu -0.129 -1.201 2.314
Re -0.882 -2.559 4.609
Re -2.643 -1.189 3.383
```

Values from the calculation:
N(E_F)	3.2	states/eV per cell
total moment	0.00	μB/f.u.
calculated volume	55	Å³ per cell

Version c
DFT (PBE) results for CuRe after structural relaxation.

Geometry as extended XYZ:
```
2
Lattice="3.791 0.000 0.000 1.895 3.283 0.000 1.895 1.094 3.095" Properties=species:S:1:pos:R:3 pbc="T T T"
Re 5.686 3.283 2.321
Cu 0.000 0.000 0.000
```

Values from the calculation:
N(E_F)	0.8	states/eV per cell
total moment	0.00	μB/f.u.
calculated volume	39	Å³ per cell

Energies relative to the most stable structure, in meV/atom: version a 100; version b 0; version c 2068.